No. 1
Density functional theory data (PBEsol) for TiHN2O after structural relaxation.

Calculated values
As for the raw total energy: -6.164 eV/atom. The crystal system is tetragonal. The symmetry is P4/mmm, No. 123.

Lattice parameters (Å, degrees): 3.7413 4.0242 4.0242 90.00 90.00 90.00
With the nearest neighbours (Å) after each atom.
Sites, in units of the cell vectors:
N1 0.0000 0.5000 0.0000  2 Ti 2.01
N2 0.0000 0.0000 0.5000  2 Ti 2.01
Ti1 0.0000 0.0000 0.0000  2 O 1.87, 4 N 2.01
O1 0.5000 0.0000 0.0000  2 Ti 1.87
H1 0.5000 0.5000 0.5000  8 N 2.75, 4 O 2.85

=====

No. 2
Density functional theory data (PBEsol) for CrIr4Pt after structural relaxation.

Calculated values
The value obtained for the formation energy is 0.564 eV/atom. The crystal system is cubic. The symmetry is F-43m, No. 216.

Lattice parameters (Å, degrees): 5.0739 5.0739 5.0739 60.00 60.00 60.00
With the nearest neighbours (Å) after each atom.
Sites, in units of the cell vectors:
Pt1 0.7500 0.7500 0.7500  12 Ir 2.97, 4 Cr 3.11
Ir1 0.3750 0.3750 0.3750  6 Ir 2.54
Ir2 0.3750 0.3750 0.8749  6 Ir 2.54
Ir3 0.8749 0.3750 0.3750  6 Ir 2.54
Cr1 0.0000 0.0000 0.0000  12 Ir 2.97, 4 Pt 3.11
Ir4 0.3750 0.8749 0.3750  6 Ir 2.54

=====

No. 3
Density functional theory data (PBEsol) for BeBrCl after structural relaxation.

Calculated values
The crystal system is trigonal. The uncorrected formation energy comes out at -0.972 eV/atom. The symmetry is P3m1, No. 156.

Lattice parameters (Å, degrees): 3.3500 3.3500 6.2122 90.00 90.00 120.00
With the nearest neighbours (Å) after each atom.
Sites, in units of the cell vectors:
Br1 0.3333 0.6667 0.7858  3 Be 2.38
Cl1 0.6667 0.3333 0.2059  3 Be 2.29
Be1 0.0000 0.0000 0.0083  3 Cl 2.29, 3 Br 2.38

=====

Repeat the second record exactly.
Density functional theory data (PBEsol) for CrIr4Pt after structural relaxation.

Calculated values
The value obtained for the formation energy is 0.564 eV/atom. The crystal system is cubic. The symmetry is F-43m, No. 216.

Lattice parameters (Å, degrees): 5.0739 5.0739 5.0739 60.00 60.00 60.00
With the nearest neighbours (Å) after each atom.
Sites, in units of the cell vectors:
Pt1 0.7500 0.7500 0.7500  12 Ir 2.97, 4 Cr 3.11
Ir1 0.3750 0.3750 0.3750  6 Ir 2.54
Ir2 0.3750 0.3750 0.8749  6 Ir 2.54
Ir3 0.8749 0.3750 0.3750  6 Ir 2.54
Cr1 0.0000 0.0000 0.0000  12 Ir 2.97, 4 Pt 3.11
Ir4 0.3750 0.8749 0.3750  6 Ir 2.54